{"formula": "Y2SeS", "functional": "PBE", "state": "relaxed", "lattice": [[6.278, 0.000, 0.000], [0.000, 6.278, 0.000], [0.000, 0.000, 12.494]], "species": ["Y", "Y", "Y", "Y", "Y", "Y", "Y", "Y", "Se", "Se", "Se", "Se", "S", "S", "S", "S"], "fractional_positions": [[0.233, 0.250, 0.125], [0.250, 0.733, 0.375], [0.250, 0.767, 0.875], [0.267, 0.250, 0.625], [0.733, 0.750, 0.625], [0.750, 0.233, 0.875], [0.750, 0.267, 0.375], [0.767, 0.750, 0.125], [0.000, 0.000, 0.500], [0.000, 0.500, 0.750], [0.500, 0.000, 0.250], [0.500, 0.500, 0.000], [0.000, 0.000, 0.000], [0.000, 0.500, 0.250], [0.500, 0.000, 0.750], [0.500, 0.500, 0.500]], "dos_ef_per_ev_cell": 11.37, "polymorph_energy_ev_per_fu": 1.70}

***

{"formula": "Rb5BaO4", "functional": "PBE", "state": "relaxed", "lattice": [[8.780, -2.071, 0.000], [8.780, 2.071, 0.000], [-2.326, 0.000, 7.621]], "species": ["Rb", "Rb", "Rb", "Rb", "Rb", "Ba", "O", "O", "O", "O"], "fractional_positions": [[0.000, 0.000, 0.000], [0.333, 0.333, 0.616], [0.340, 0.340, 0.164], [0.660, 0.660, 0.836], [0.667, 0.667, 0.384], [0.000, 0.000, 0.500], [0.164, 0.164, 0.621], [0.499, 0.499, 0.738], [0.501, 0.501, 0.262], [0.836, 0.836, 0.379]], "dos_ef_per_ev_cell": 10.56, "e_tot_ev_per_atom": -3.8514}